No. 1
## Ac12Hg6Rh (PBE)

Data for a geometry-optimized Ac12Hg6Rh structure.

Values from the calculation:
Energy: -3.364 eV/atom
ΔE_f: -0.29 eV per atom
Theoretical density: 9.19 g/cm3

CIF file:
```
data_Ac12Hg6Rh
_cell_length_a 13.1363
_cell_length_b 13.1363
_cell_length_c 14.6118
_cell_angle_alpha 90.00
_cell_angle_beta 90.00
_cell_angle_gamma 120.00
_space_group_name_H-M_alt 'R -3'
_space_group_IT_number 148
_space_group_name_Hall '-R 3'
loop_
_atom_site_label
_atom_site_type_symbol
_atom_site_fract_x
_atom_site_fract_y
_atom_site_fract_z
Ac1 Ac 0.0327 0.1911 0.3876
Ac2 Ac 0.0341 0.8400 0.8828
Hg1 Hg 0.0088 0.3979 0.2551
Rh1 Rh 0.0000 0.0000 0.0000
```

No. 2
## Ce3Pu2Ge3 (PBE)

Data for a geometry-optimized Ce3Pu2Ge3 structure.

Values from the calculation:
Energy: -8.094 eV/atom
ΔE_f: -0.55 eV per atom
Theoretical density: 8.94 g/cm3

CIF file:
```
data_Ce3Pu2Ge3
_cell_length_a 8.9008
_cell_length_b 8.9008
_cell_length_c 6.0985
_cell_angle_alpha 90.00
_cell_angle_beta 90.00
_cell_angle_gamma 120.00
_space_group_name_H-M_alt 'P 63/m c m'
_space_group_IT_number 193
_space_group_name_Hall '-P 6c 2'
loop_
_atom_site_label
_atom_site_type_symbol
_atom_site_fract_x
_atom_site_fract_y
_atom_site_fract_z
Ce1 Ce 0.0000 0.2846 0.2500
Pu1 Pu 0.3333 0.6667 0.0000
Ge1 Ge 0.0000 0.3709 0.7500
```

No. 3
## Cs2CaH4 (PBE)

Data for a geometry-optimized Cs2CaH4 structure.

Values from the calculation:
Energy: -2.798 eV/atom
Theoretical density: 3.16 g/cm3
Energy above the most stable polymorph in this dataset: 0 meV/atom

CIF file:
```
data_Cs2CaH4
_cell_length_a 4.589
_cell_length_b 4.589
_cell_length_c 15.455
_cell_angle_alpha 90.00
_cell_angle_beta 90.00
_cell_angle_gamma 90.00
_space_group_name_H-M_alt 'I 4/m m m'
_space_group_IT_number 139
_space_group_name_Hall '-I 4 2'
loop_
_atom_site_label
_atom_site_type_symbol
_atom_site_fract_x
_atom_site_fract_y
_atom_site_fract_z
Cs1 Cs 0.000 0.000 0.148
Ca1 Ca 0.000 0.000 0.500
H1 H 0.000 0.000 0.351
H2 H 0.000 0.500 0.000
```

No. 4
## Ti6ZnCo (PBE)

Data for a geometry-optimized Ti6ZnCo structure.

Values from the calculation:
Energy: -7.079 eV/atom
ΔE_f: -0.11 eV per atom
Theoretical density: 5.42 g/cm3
Energy above the most stable polymorph in this dataset: 0 meV/atom

CIF file:
```
data_Ti6ZnCo
_cell_length_a 4.136
_cell_length_b 4.136
_cell_length_c 14.743
_cell_angle_alpha 90.00
_cell_angle_beta 90.00
_cell_angle_gamma 90.00
_space_group_name_H-M_alt 'I 4/m m m'
_space_group_IT_number 139
_space_group_name_Hall '-I 4 2'
loop_
_atom_site_label
_atom_site_type_symbol
_atom_site_fract_x
_atom_site_fract_y
_atom_site_fract_z
Ti1 Ti 0.000 0.000 0.250
Ti2 Ti 0.000 0.500 0.116
Zn1 Zn 0.000 0.000 0.000
Co1 Co 0.000 0.000 0.500
```